# 1
! Tm2ScIr3 | Alexandria via LeMat-Bulk | PBE | optimized geometry; values from VASP
! **Calculated volume**: 18.49 A^3/atom
! **Size of the total moment**: 0.00 μB per formula unit
! **Density of states at the Fermi level**: 2.16 states/eV/cell
! **Formation enthalpy at 0 K**: -90 kJ/mol of atoms
&SYSTEM
  ibrav = 0, nat = 6, ntyp = 3
/
ATOMIC_SPECIES
Tm 168.93 Tm.upf
Sc 44.96 Sc.upf
Ir 192.22 Ir.upf
CELL_PARAMETERS angstrom
2.3849 -7.1370 0.0000
2.3849 7.1370 0.0000
0.0000 0.0000 3.2597
ATOMIC_POSITIONS crystal
Tm 0.1660 0.8340 0.0000
Tm 0.8340 0.1660 0.0000
Sc 0.5000 0.5000 0.0000
Ir 0.0000 0.0000 0.5000
Ir 0.3390 0.6610 0.5000
Ir 0.6610 0.3390 0.5000

# 2
! TmScIr | Alexandria via LeMat-Bulk | PBE | optimized geometry; values from VASP
! **Calculated volume**: 23.42 A^3/atom
! **Size of the total moment**: 0.00 μB per formula unit
! **Density of states at the Fermi level**: 3.26 states/eV/cell
! **E above lowest polymorph**: 77 meV per atom
! **Formation enthalpy at 0 K**: -70 kJ/mol of atoms
&SYSTEM
  ibrav = 0, nat = 3, ntyp = 3
/
ATOMIC_SPECIES
Tm 168.93 Tm.upf
Sc 44.96 Sc.upf
Ir 192.22 Ir.upf
CELL_PARAMETERS angstrom
0.0000 3.2749 3.2749
3.2749 0.0000 3.2749
3.2749 3.2749 0.0000
ATOMIC_POSITIONS crystal
Tm 0.0000 0.0000 0.0000
Sc 0.5000 0.5000 0.5000
Ir 0.2500 0.2500 0.2500

# 3
! TmSc2Ir4 | Alexandria via LeMat-Bulk | PBE | optimized geometry; values from VASP
! **Calculated volume**: 18.60 A^3/atom
! **Size of the total moment**: 0.00 μB per formula unit
! **Density of states at the Fermi level**: 6.51 states/eV/cell
! **Formation enthalpy at 0 K**: -39 kJ/mol of atoms
&SYSTEM
  ibrav = 0, nat = 7, ntyp = 3
/
ATOMIC_SPECIES
Tm 168.93 Tm.upf
Sc 44.96 Sc.upf
Ir 192.22 Ir.upf
CELL_PARAMETERS angstrom
-3.2251 3.2251 3.1288
3.2251 -3.2251 3.1288
3.2251 3.2251 -3.1288
ATOMIC_POSITIONS crystal
Tm 0.0000 0.0000 0.0000
Sc 0.0000 0.5000 0.5000
Sc 0.5000 0.0000 0.5000
Ir 0.0000 0.0000 0.5000
Ir 0.0000 0.5000 0.0000
Ir 0.5000 0.0000 0.0000
Ir 0.5000 0.5000 0.5000

# 4
! Tm2ScIr | Alexandria via LeMat-Bulk | PBE | optimized geometry; values from VASP
! **Calculated volume**: 27.03 A^3/atom
! **Size of the total moment**: 0.00 μB per formula unit
! **Density of states at the Fermi level**: 7.20 states/eV/cell
! **E above lowest polymorph**: 140 meV per atom
! **Formation enthalpy at 0 K**: -43 kJ/mol of atoms
&SYSTEM
  ibrav = 0, nat = 8, ntyp = 3
/
ATOMIC_SPECIES
Tm 168.93 Tm.upf
Sc 44.96 Sc.upf
Ir 192.22 Ir.upf
CELL_PARAMETERS angstrom
5.6028 -2.5724 0.0000
5.6028 2.5724 0.0000
-2.8832 0.0000 7.5003
ATOMIC_POSITIONS crystal
Tm 0.1734 0.1735 0.0868
Tm 0.1735 0.1734 0.5868
Tm 0.8265 0.8266 0.4132
Tm 0.8266 0.8265 0.9132
Sc 0.4990 0.5010 0.7500
Sc 0.5010 0.4990 0.2500
Ir 0.0010 0.9990 0.2500
Ir 0.9990 0.0010 0.7500